Below is crystalline K2ReSi at its relaxed geometry, with properties calculated at the PBE level.

a = 6.3043 Å, b = 6.3043 Å, c = 6.3043 Å
α = 144.68°, β = 144.68°, γ = 50.81°
Sites, in units of the cell vectors:
K 0.2500 0.7500 0.5000
K 0.7500 0.2500 0.5000
Re 0.0000 0.0000 0.0000
Si 0.5000 0.5000 0.0000

Calculated values
- Energy relative to the elements, uncorrected: 1.194 eV per atom
- Magnetization: 0.0000 μB per atom


Below is crystalline K2ReSi at its relaxed geometry, with properties calculated at the PBE level.

a = 10.4728 Å, b = 10.4728 Å, c = 3.8081 Å
α = 99.67°, β = 99.67°, γ = 16.87°
Sites, in units of the cell vectors:
K 0.1459 0.1459 0.1317
K 0.8541 0.8541 0.8683
Re 0.0000 0.0000 0.5000
Si 0.5000 0.5000 0.0000

Calculated values
- Energy relative to the elements, uncorrected: 0.461 eV per atom
- Magnetization: 0.0000 μB per atom


Below is crystalline K2ReSi at its relaxed geometry, with properties calculated at the PBE level.

a = 4.9647 Å, b = 4.9647 Å, c = 4.9647 Å
α = 60.00°, β = 60.00°, γ = 60.00°
Sites, in units of the cell vectors:
K 0.0000 0.0000 0.0000
K 0.2500 0.2500 0.2500
Re 0.7500 0.7500 0.7500
Si 0.5000 0.5000 0.5000

Calculated values
- Energy relative to the elements, uncorrected: 1.437 eV per atom
- Magnetization: 0.1617 μB per atom


Q: Look up the energy relative to the elements, uncorrected of the first one.
A: 1.194 eV per atom